The following is a GGA-PBE calculation of crystalline CuAg4TeO6 at its relaxed geometry, from the Alexandria database.

Calculated values
Space-group type: C2/c (15)
E in eV/atom: -4.4761

a = 7.544 Å, b = 7.544 Å, c = 5.885 Å
α = 83.11°, β = 83.11°, γ = 81.42°
Site moments in Bohr magnetons follow the coordinates.
Positions (direct):
Cu1 0.084 0.916 0.750  0.51
Cu2 0.916 0.084 0.250  0.51
Ag1 0.429 0.571 0.750  0.01
Ag2 0.353 0.177 0.034  0.01
Ag3 0.571 0.429 0.250  0.01
Ag4 0.177 0.353 0.534  0.01
Ag5 0.823 0.647 0.466  0.01
Ag6 0.647 0.823 0.966  0.01
Ag7 0.500 0.000 0.500  0.02
Ag8 0.000 0.500 0.000  0.02
Te1 0.778 0.222 0.750  0.00
Te2 0.222 0.778 0.250  0.00
O1 0.476 0.757 0.310  0.03
O2 0.757 0.476 0.810  0.03
O3 0.966 0.825 0.181  0.08
O4 0.524 0.243 0.690  0.03
O5 0.243 0.524 0.190  0.03
O6 0.849 0.297 0.421  0.07
O7 0.297 0.849 0.921  0.07
O8 0.703 0.151 0.079  0.07
O9 0.175 0.034 0.319  0.08
O10 0.825 0.966 0.681  0.08
O11 0.151 0.703 0.579  0.07
O12 0.034 0.175 0.819  0.08

=====

The following is a GGA-PBE calculation of crystalline CuAgTeO4 at its relaxed geometry, from the Alexandria database.

Calculated values
Space-group type: Imma (74)
E in eV/atom: -4.8528

a = 5.788 Å, b = 6.789 Å, c = 6.441 Å
α = 118.32°, β = 90.00°, γ = 115.23°
Site moments in Bohr magnetons follow the coordinates.
Positions (direct):
Cu1 0.500 0.500 0.500  0.39
Cu2 0.000 0.500 0.500  0.39
Ag1 0.818 0.637 0.068  0.01
Ag2 0.182 0.363 0.932  0.01
Te1 0.500 0.000 0.500  -0.01
Te2 0.500 0.000 0.000  -0.01
O1 0.693 0.387 0.646  0.10
O2 0.258 0.970 0.235  -0.01
O3 0.712 0.970 0.235  -0.01
O4 0.693 0.387 0.241  0.10
O5 0.307 0.613 0.759  0.10
O6 0.742 0.030 0.765  -0.01
O7 0.288 0.030 0.765  -0.01
O8 0.307 0.613 0.354  0.10

=====

The following is a GGA-PBE calculation of crystalline Cu2Ag2TeO6 at its relaxed geometry, from the Alexandria database.

Calculated values
Space-group type: C2/m (12)
E in eV/atom: -4.8176

a = 5.293 Å, b = 5.293 Å, c = 6.276 Å
α = 92.53°, β = 92.53°, γ = 114.66°
Site moments in Bohr magnetons follow the coordinates.
Positions (direct):
Cu1 0.336 0.664 0.500  0.57
Cu2 0.664 0.336 0.500  0.57
Ag1 0.831 0.169 0.000  0.02
Ag2 0.169 0.831 0.000  0.02
Te1 0.000 0.000 0.500  0.00
O1 0.697 0.697 0.636  0.15
O2 0.960 0.290 0.686  0.09
O3 0.303 0.303 0.364  0.15
O4 0.290 0.960 0.686  0.09
O5 0.040 0.710 0.314  0.09
O6 0.710 0.040 0.314  0.09

=====

The following is a GGA-PBE calculation of crystalline TiCu2AgO at its relaxed geometry, from the Alexandria database.

Calculated values
Space-group type: P4/mmm (123)
E in eV/atom: -3.8934

a = 4.732 Å, b = 3.950 Å, c = 4.732 Å
α = 90.00°, β = 90.00°, γ = 90.00°
Positions (direct):
O1 0.000 0.500 0.000
Cu1 0.000 0.000 0.500
Cu2 0.500 0.000 0.000
Ag1 0.000 0.000 0.000
Ti1 0.500 0.500 0.500

=====

The following is a GGA-PBE calculation of crystalline TiCuAg2O at its relaxed geometry, from the Alexandria database.

Calculated values
Space-group type: P4/mmm (123)
E in eV/atom: -4.1413

a = 4.993 Å, b = 3.562 Å, c = 4.993 Å
α = 90.00°, β = 90.00°, γ = 90.00°
Site moments in Bohr magnetons follow the coordinates.
Positions (direct):
O1 0.000 0.500 0.000  0.10
Cu1 0.000 0.000 0.000  0.13
Ag1 0.000 0.000 0.500  0.06
Ag2 0.500 0.000 0.000  0.04
Ti1 0.500 0.500 0.500  1.54

=====

The following is a GGA-PBE calculation of crystalline TlCuAgO2 at its relaxed geometry, from the Alexandria database.

Calculated values
Space-group type: Cmme (67)
E in eV/atom: -4.1824

a = 5.814 Å, b = 6.062 Å, c = 6.666 Å
α = 90.00°, β = 90.00°, γ = 118.65°
Positions (direct):
Tl1 0.750 0.500 0.766
Tl2 0.250 0.500 0.234
Cu1 0.750 0.000 0.000
Cu2 0.250 0.000 0.000
Ag1 0.000 0.000 0.500
Ag2 0.500 0.000 0.500
O1 0.996 0.991 0.187
O2 0.504 0.009 0.187
O3 0.496 0.991 0.813
O4 0.004 0.009 0.813